Material: TiVIn2
Method: DFT, PBE
State: optimized geometry

Cell lengths 6.7070, 6.7070, 6.7070 Å; angles 90.00, 90.00, 90.00 degrees
Last column: nearest neighbours and their distance in Å.
Space group Fm-3m (No. 225)
Inequivalent atoms, fractional coordinates:
Ti 0.0000 0.0000 0.0000 x4  8 In 2.90
V 0.0000 0.0000 0.5000 x4  8 In 2.90
In 0.2500 0.2500 0.2500 x8  4 V 2.90, 4 Ti 2.90

## Properties
- final energy (eV per formula unit) = -21.923
- formation enthalpy at 0 K (eV/atom) = 0.14
- DOS at the Fermi energy (states/eV/cell) = 17.11


Material: Mn2CoRe
Method: DFT, PBE
State: optimized geometry

Cell lengths 3.6514, 3.6514, 7.1640 Å; angles 90.00, 90.00, 90.00 degrees
Last column: nearest neighbours and their distance in Å.
Space group I4/mmm (No. 139)
Inequivalent atoms, fractional coordinates:
Mn 0.0000 0.5000 0.2500 x4  4 Co 2.56, 4 Re 2.56, 4 Mn 2.58
Co 0.0000 0.0000 0.0000 x2  8 Mn 2.56, 4 Re 2.58
Re 0.0000 0.0000 0.5000 x2  8 Mn 2.56, 4 Co 2.58

## Properties
- final energy (eV per formula unit) = -37.741
- formation enthalpy at 0 K (eV/atom) = 0.04
- DOS at the Fermi energy (states/eV/cell) = 8.30


Material: Rb2SrPbI6
Method: DFT, PBE
State: optimized geometry

Cell lengths 8.5624, 9.0887, 15.0363 Å; angles 90.00, 124.42, 90.00 degrees
Last column: nearest neighbours and their distance in Å.
Space group P2_1/c (No. 14)
Inequivalent atoms, fractional coordinates:
Rb 0.2167 0.0848 0.2488 x4  6 I 3.71-3.92
Sr 0.5000 0.0000 0.0000 x2  6 I 3.29-3.31
Pb 0.0000 0.0000 0.5000 x2  6 I 3.25-3.26
I 0.1299 0.1970 0.9424 x4  1 Pb 3.26, 1 Sr 3.30
I 0.2515 0.6938 0.9423 x4  1 Pb 3.26, 1 Sr 3.31
I 0.3645 0.0319 0.7480 x4  1 Pb 3.25, 1 Sr 3.29

## Properties
- raw formation energy (eV/atom) = -1.30
- final energy (eV per formula unit) = -29.672
- DOS at the Fermi energy (states/eV/cell) = 0.00


Material: ScIn4As
Method: DFT, PBE
State: optimized geometry

Cell lengths 8.4188, 8.4188, 8.4188 Å; angles 90.00, 90.00, 90.00 degrees
Last column: nearest neighbours and their distance in Å.
Space group F-43m (No. 216)
Inequivalent atoms, fractional coordinates:
Sc 0.0000 0.0000 0.0000 x4  12 In 3.49, 4 As 3.65
In 0.1249 0.1249 0.3751 x16  6 In 2.97-2.98
As 0.2500 0.2500 0.7500 x4  12 In 3.49, 4 Sc 3.65

## Properties
- final energy (eV per formula unit) = -21.001
- formation enthalpy at 0 K (eV/atom) = 0.16
- DOS at the Fermi energy (states/eV/cell) = 25.10


Material: SrNiP2
Method: DFT, PBE
State: optimized geometry

Cell lengths 4.2551, 4.1110, 4.7534 Å; angles 90.00, 92.70, 90.00 degrees
Last column: nearest neighbours and their distance in Å.
Space group Pm (No. 6)
Inequivalent atoms, fractional coordinates:
Sr 0.0000 0.0000 0.0000 x1  7 P 3.05-3.22, 2 Ni 3.24
Ni 0.3522 0.5000 0.5920 x1  4 P 2.16-2.28
P 0.5283 0.0000 0.4631 x1  2 Ni 2.28, 2 P 2.47
P 0.8519 0.5000 0.4902 x1  2 Ni 2.16-2.20

## Properties
- final energy (eV per formula unit) = -20.630
- formation enthalpy at 0 K (eV/atom) = -0.59
- DOS at the Fermi energy (states/eV/cell) = 0.12


Material: La2ErP3Rh12
Method: DFT, PBE
State: optimized geometry

Cell lengths 8.8898, 8.8898, 13.3499 Å; angles 90.00, 90.00, 120.00 degrees
Last column: nearest neighbours and their distance in Å.
Space group R-3m (No. 166, hexagonal axes)
Inequivalent atoms, fractional coordinates:
La 0.0000 0.0000 0.1167 x6  3 Rh 2.52
Er 0.0000 0.0000 0.5000 x3  6 Rh 2.69
P 0.0000 0.5000 0.0000 x9  6 Rh 2.26-2.47
Rh 0.0159 0.5079 0.8308 x18  1 P 2.26, 1 La 2.52
Rh 0.0446 0.5223 0.3719 x18  2 P 2.47, 1 Rh 2.75

## Properties
- final energy (eV per formula unit) = -125.780
- formation enthalpy at 0 K (eV/atom) = -0.38
- DOS at the Fermi energy (states/eV/cell) = 54.34


Material: Pa2TcB
Method: DFT, PBE
State: optimized geometry

Cell lengths 4.3247, 4.3247, 3.8290 Å; angles 90.00, 90.00, 90.00 degrees
Last column: nearest neighbours and their distance in Å.
Space group P4/mmm (No. 123)
Inequivalent atoms, fractional coordinates:
Pa 0.0000 0.5000 0.0000 x2  4 Tc 2.89, 4 B 2.89, 4 Pa 3.06
Tc 0.0000 0.0000 0.5000 x1  8 Pa 2.89, 4 B 3.06
B 0.5000 0.5000 0.5000 x1  8 Pa 2.89, 4 Tc 3.06

## Properties
- final energy (eV per formula unit) = -35.873
- formation enthalpy at 0 K (eV/atom) = 0.04
- DOS at the Fermi energy (states/eV/cell) = 4.78


Material: NaIrSN2
Method: DFT, PBE
State: optimized geometry

Cell lengths 3.8031, 3.8031, 5.2842 Å; angles 90.00, 90.00, 90.00 degrees
Last column: nearest neighbours and their distance in Å.
Space group P4/mmm (No. 123)
Inequivalent atoms, fractional coordinates:
Na 0.0000 0.0000 0.0000 x1  4 S 2.69
Ir 0.5000 0.5000 0.5000 x1  4 N 1.90
S 0.5000 0.5000 0.0000 x1  2 Ir 2.64, 4 Na 2.69
N 0.0000 0.5000 0.5000 x2  2 Ir 1.90

## Properties
- raw formation energy (eV/atom) = 0.46
- final energy (eV per formula unit) = -28.662
- DOS at the Fermi energy (states/eV/cell) = 3.95


Material: MgZn2Hg2
Method: DFT, PBE
State: optimized geometry

Cell lengths 7.6612, 7.6612, 3.5958 Å; angles 90.00, 90.00, 90.00 degrees
Last column: nearest neighbours and their distance in Å.
Space group P4/mbm (No. 127)
Inequivalent atoms, fractional coordinates:
Mg 0.0000 0.0000 0.0000 x2  4 Hg 2.90
Zn 0.1442 0.3558 0.5000 x4  6 Hg 2.82-2.92, 1 Zn 3.13
Hg 0.1555 0.6555 0.0000 x4  6 Zn 2.82-2.92, 2 Mg 2.90

## Properties
- final energy (eV per formula unit) = -4.394
- formation enthalpy at 0 K (eV/atom) = 0.07
- DOS at the Fermi energy (states/eV/cell) = 3.39


Material: BaLi2Hg2P
Method: DFT, PBE
State: optimized geometry

Cell lengths 4.8898, 4.8898, 6.4387 Å; angles 90.00, 90.00, 90.00 degrees
Last column: nearest neighbours and their distance in Å.
Space group P4/mmm (No. 123)
Inequivalent atoms, fractional coordinates:
Ba 0.0000 0.0000 0.0000 x1  2 P 3.22
Li 0.0000 0.5000 0.5000 x2  2 P 2.44
Hg 0.5000 0.5000 0.2431 x2  4 Li 2.95, 1 Hg 3.13
P 0.0000 0.0000 0.5000 x1  4 Li 2.44

## Properties
- final energy (eV per formula unit) = -14.677
- formation enthalpy at 0 K (eV/atom) = -0.49
- DOS at the Fermi energy (states/eV/cell) = 2.98


Material: NaAlCl2
Method: DFT, PBE
State: optimized geometry

Cell lengths 3.6574, 3.6574, 24.7827 Å; angles 90.00, 90.00, 120.00 degrees
Last column: nearest neighbours and their distance in Å.
Space group R-3m (No. 166, hexagonal axes)
Inequivalent atoms, fractional coordinates:
Na 0.0000 0.0000 0.0000 x3  6 Cl 2.72
Al 0.0000 0.0000 0.5000 x3  2 Cl 2.41
Cl 0.0000 0.0000 0.4026 x6  1 Al 2.41

## Properties
- raw formation energy (eV/atom) = -0.96
- final energy (eV per formula unit) = -12.602
- DOS at the Fermi energy (states/eV/cell) = 1.53


Material: Pm2SiSnPd6
Method: DFT, PBE
State: optimized geometry

Cell lengths 11.5939, 5.5453, 8.0507 Å; angles 90.00, 130.61, 90.00 degrees
Last column: nearest neighbours and their distance in Å.
Space group C2/m (No. 12)
Inequivalent atoms, fractional coordinates:
Pm 0.9997 0.0000 0.2499 x4  7 Pd 2.91-3.21
Si 0.0000 0.5000 0.0000 x2  6 Pd 2.39-2.53
Sn 0.0000 0.5000 0.5000 x2  6 Pd 2.62-2.74
Pd 0.1694 0.5000 0.9266 x4  1 Si 2.39, 1 Sn 2.62
Pd 0.2348 0.2542 0.2861 x8  1 Si 2.53, 3 Pd 2.73-2.82, 1 Sn 2.74

## Properties
- raw formation energy (eV/atom) = -0.69
- final energy (eV per formula unit) = -57.021
- DOS at the Fermi energy (states/eV/cell) = 8.54